The following is a DFT calculation (PBE) of a relaxed structure of Pm7Sm5.

abc: 5.916 5.684 14.874
angles: 102.29 90.00 121.36
Atoms (fractional coordinates):
Pm 0.245 0.491 0.671
Pm 0.755 0.509 0.329
Pm 0.036 0.071 0.214
Pm 0.964 0.929 0.786
Pm 0.678 0.357 0.084
Pm 0.500 0.000 0.500
Pm 0.322 0.643 0.916
Sm 0.134 0.269 0.438
Sm 0.866 0.731 0.562
Sm 0.374 0.747 0.201
Sm 0.626 0.253 0.799
Sm 0.000 0.000 0.000

Output
- total energy (eV per atom) = -4.57
- SG = C2/m (12)
- V (Å³ per cell) = 414
- ΔH_f (0 K) (meV/atom) = 165

The following is a DFT calculation (PBE) of a relaxed structure of PmSm8.

abc: 5.135 8.117 8.117
angles: 84.26 71.56 71.56
Atoms (fractional coordinates):
Pm 0.000 0.000 0.000
Sm 0.333 0.000 0.334
Sm 0.667 0.000 0.666
Sm 0.667 0.666 0.000
Sm 0.000 0.667 0.333
Sm 0.333 0.667 0.667
Sm 0.667 0.333 0.333
Sm 0.000 0.333 0.667
Sm 0.333 0.334 0.000

Output
- total energy (eV per atom) = -4.71
- SG = I4/mmm (139)
- V (Å³ per cell) = 304
- ΔH_f (0 K) (meV/atom) = 14

The following is a DFT calculation (PBE) of a relaxed structure of Pm6Sm.

abc: 6.626 6.626 11.270
angles: 90.00 90.00 90.00
Atoms (fractional coordinates):
Pm 0.500 0.500 0.138
Pm 0.000 0.000 0.138
Pm 0.000 0.000 0.862
Pm 0.500 0.500 0.862
Pm 0.832 0.668 0.361
Pm 0.332 0.832 0.361
Pm 0.668 0.168 0.361
Pm 0.168 0.332 0.361
Pm 0.668 0.832 0.639
Pm 0.168 0.668 0.639
Pm 0.832 0.332 0.639
Pm 0.332 0.168 0.639
Sm 0.500 0.000 0.000
Sm 0.000 0.500 0.000

Output
- total energy (eV per atom) = -4.51
- SG = P4/nbm (125)
- V (Å³ per cell) = 495
- ΔH_f (0 K) (meV/atom) = 236
- E above lowest polymorph (kJ/mol of atoms) = 0.0

> ΔH_f (0 K) of number 3 (Pm6Sm)?

236 meV/atom